Below is HfSnBiRh2 after structural relaxation, with properties calculated at the PBE level.

Results
V   132.7 Å³ per cell
Density of states at the Fermi level   8.4 states/eV/cell
Total energy   -27.5 eV for the cell shown
Symmetry   P4/mmm (123)
Energy of formation from the pure elements   1000.7 meV/atom

Unit cell a=4.9508 b=5.4138 c=4.9508 alpha=90.00 beta=90.00 gamma=90.00
With the nearest neighbours (Å) after each atom.
Fractional coordinates of all 5 atoms:
Hf 0.0000 0.5000 0.0000  2 Bi 2.71
Bi 0.0000 0.0000 0.0000  4 Rh 2.48, 2 Hf 2.71
Rh 0.0000 0.0000 0.5000  2 Bi 2.48
Rh 0.5000 0.0000 0.0000  2 Bi 2.48
Sn 0.5000 0.5000 0.5000  4 Hf 3.50, 8 Rh 3.67